LiFe2F | PBE+U | relaxed

Computed properties:
SG: Fm-3m
Crystal system: cubic
Magnetic moment, μB per atom: 1.5075
Electronic total energy, eV for the cell shown: -14.144
Energy relative to the lowest polymorph listed for this composition, meV per atom: 433

Cell lengths 4.290, 4.290, 4.290 Å; angles 60.00, 60.00, 60.00 degrees
Each line ends with the local moment (μB).
Fractional coordinates of all 4 atoms:
Fe 0.750 0.750 0.750  3.07
Fe 0.250 0.250 0.250  3.07
F 0.500 0.500 0.500  -0.05
Li 0.000 0.000 0.000  -0.04